Material: YCrRe
Method: DFT, GGA-PBE
State: relaxed

## Properties
Calculated density, g/cm3: 10.06
Space group: I4mm, No. 107
ΔE_f, eV per atom: 0.239
D(E_F), states/eV/atom: 1.265

Cell lengths 5.9929, 5.9929, 5.9929 Å; angles 149.91, 149.91, 43.08 degrees
Fractional coordinates of all 3 atoms:
Y  0.0000  0.0000  0.0000
Cr  0.3030  0.3030  0.0000
Re  0.6989  0.6989  0.0000